A plane-wave DFT calculation with PBE+U was carried out for MnNiHg2O after structural relaxation.

Results
* raw total energy: -2.27 eV per atom

a b c (Å): 4.8452 4.7259 4.8452
angles (deg): 90.00 90.00 90.00
Last column: nearest neighbours and their distance in Å.
Positions (direct):
1 Mn 0.0000 0.5000 0.0000  2 Ni 2.36
2 Hg 0.0000 0.0000 0.5000  2 Ni 2.42
3 Hg 0.5000 0.0000 0.0000  2 Ni 2.42
4 O 0.5000 0.5000 0.5000  8 Hg 3.38, 4 Mn 3.43
5 Ni 0.0000 0.0000 0.0000  2 Mn 2.36, 4 Hg 2.42